The following is a GGA-PBE calculation of a relaxed structure of Y2TeH, from the Alexandria database.

Summary:
ΔE to the lowest computed polymorph: 6 meV/atom
DFT total energy: -5.695 eV/atom

Unit cell a=7.1030 b=7.1030 c=6.9694 alpha=90.00 beta=90.00 gamma=90.00
Closest atoms and distances in Å follow each position.
Sites, in units of the cell vectors:
Y (0.1571, 0.2500, 0.1250)  2 H 2.27
Y (0.2500, 0.6571, 0.3750)  2 H 2.27
Y (0.2500, 0.8429, 0.8750)  2 H 2.27
Y (0.3429, 0.2500, 0.6250)  2 H 2.27
Y (0.6571, 0.7500, 0.6250)  2 H 2.27
Y (0.7500, 0.1571, 0.8750)  2 H 2.27
Y (0.7500, 0.3429, 0.3750)  2 H 2.27
Y (0.8429, 0.7500, 0.1250)  2 H 2.27
Te (0.0000, 0.0000, 0.5000)  8 Y 3.14-3.35, 2 H 3.48
Te (0.0000, 0.5000, 0.7500)  8 Y 3.14-3.35, 2 H 3.48
Te (0.5000, 0.0000, 0.2500)  8 Y 3.14-3.35, 2 H 3.48
Te (0.5000, 0.5000, 0.0000)  8 Y 3.14-3.35, 2 H 3.48
H (0.0000, 0.0000, 0.0000)  4 Y 2.27
H (0.0000, 0.5000, 0.2500)  4 Y 2.27
H (0.5000, 0.0000, 0.7500)  4 Y 2.27
H (0.5000, 0.5000, 0.5000)  4 Y 2.27